1.
Here is crystalline In2PIr at its relaxed geometry from Alexandria via LeMat-Bulk. Energies are from PBE.

Calculated values
E   -5.02 eV per atom
Formation energy from the elements   -0.083 eV/atom

Cell lengths 9.921, 3.048, 6.157 Å; angles 90.00, 114.58, 90.00 degrees
Space group Cm (No. 8)
Inequivalent atoms, fractional coordinates:
In1 0.000 0.000 0.000 [2 per cell]
In2 0.157 0.000 0.607 [2 per cell]
P1 0.333 0.000 0.359 [2 per cell]
Ir1 0.242 0.500 0.041 [2 per cell]

2.
Here is crystalline InP2Ir at its relaxed geometry from Alexandria via LeMat-Bulk. Energies are from PBE.

Calculated values
E   -5.35 eV per atom
Formation energy from the elements   0.254 eV/atom

Cell lengths 2.986, 2.986, 7.694 Å; angles 90.00, 90.00, 90.00 degrees
Space group P4mm (No. 99)
Inequivalent atoms, fractional coordinates:
In1 0.000 0.000 0.000 [1 per cell]
P1 0.000 0.000 0.448 [1 per cell]
P2 0.500 0.500 0.744 [1 per cell]
Ir1 0.500 0.500 0.279 [1 per cell]

3.
Here is crystalline InP2Ir at its relaxed geometry from Alexandria via LeMat-Bulk. Energies are from PBE.

Calculated values
E   -5.69 eV per atom
Formation energy from the elements   -0.082 eV/atom

Cell lengths 7.762, 3.534, 5.862 Å; angles 90.00, 105.08, 90.00 degrees
Space group Cm (No. 8)
Inequivalent atoms, fractional coordinates:
In1 0.000 0.000 0.000 [2 per cell]
P1 0.149 0.500 0.610 [2 per cell]
P2 0.267 0.500 0.303 [2 per cell]
Ir1 0.352 0.000 0.610 [2 per cell]